1.
Entry from Alexandria: a geometry-optimized Mg2TaAu2 structure (PBE).

a b c (Å): 7.6642 7.6642 3.1333
angles (deg): 90.00 90.00 90.00
Space group P4/mbm (No. 127)
Asymmetric unit:
Mg (0.1581, 0.3419, 0.0000) x4
Ta (0.0000, 0.0000, 0.5000) x2
Au (0.1414, 0.6414, 0.5000) x4

- ΔE_f: -0.11 eV/atom
- Theoretical density: 11.25 g/cm³
- E: -4.425 eV per atom



2.
Entry from Alexandria: a geometry-optimized Mg4TaAu structure (PBE).

a b c (Å): 7.8117 7.8117 7.8117
angles (deg): 90.00 90.00 90.00
Space group F-43m (No. 216)
Asymmetric unit:
Mg (0.1245, 0.1245, 0.1245) x16
Ta (0.2500, 0.2500, 0.7500) x4
Au (0.0000, 0.0000, 0.5000) x4

- ΔE_f: 0.45 eV/atom
- Theoretical density: 6.62 g/cm³
- E: -3.132 eV per atom



3.
Entry from Alexandria: a geometry-optimized MgTaAu2 structure (PBE).

a b c (Å): 4.3093 4.3093 17.6828
angles (deg): 90.00 90.00 90.00
Space group I-42d (No. 122)
Asymmetric unit:
Mg (0.0000, 0.0000, 0.0000) x4
Ta (0.0000, 0.0000, 0.5000) x4
Au (0.2424, 0.2500, 0.1250) x8

- ΔE_f: 0.39 eV/atom
- Theoretical density: 12.12 g/cm³
- E: -4.614 eV per atom



4.
Entry from Alexandria: a geometry-optimized MgTaAu2 structure (PBE).

a b c (Å): 2.9824 2.9824 28.1864
angles (deg): 90.00 90.00 120.00
Space group R-3m (No. 166, hexagonal axes)
Asymmetric unit:
Mg (0.0000, 0.0000, 0.0000) x3
Ta (0.0000, 0.0000, 0.5000) x3
Au (0.0000, 0.0000, 0.2510) x6

- ΔE_f: -0.11 eV/atom
- Theoretical density: 13.75 g/cm³
- E: -5.110 eV per atom



5.
Entry from Alexandria: a geometry-optimized MgTaAu2 structure (PBE).

a b c (Å): 6.5667 6.5667 6.5667
angles (deg): 90.00 90.00 90.00
Space group F-43m (No. 216)
Asymmetric unit:
Mg (0.0000, 0.0000, 0.0000) x4
Ta (0.2500, 0.2500, 0.7500) x4
Au (0.0000, 0.0000, 0.5000) x4
Au (0.2500, 0.2500, 0.2500) x4

- ΔE_f: 0.14 eV/atom
- Theoretical density: 14.05 g/cm³
- E: -4.863 eV per atom



6.
Entry from Alexandria: a geometry-optimized MgTaAu2 structure (PBE).

a b c (Å): 4.1357 4.1357 8.3212
angles (deg): 90.00 90.00 90.00
Space group I-4m2 (No. 119)
Asymmetric unit:
Mg (0.0000, 0.0000, 0.0000) x2
Ta (0.0000, 0.5000, 0.7500) x2
Au (0.0000, 0.0000, 0.5000) x2
Au (0.0000, 0.5000, 0.2500) x2

- ΔE_f: 0.07 eV/atom
- Theoretical density: 13.98 g/cm³
- E: -4.930 eV per atom



7.
Entry from Alexandria: a geometry-optimized MgTaAu2 structure (PBE).

a b c (Å): 3.0102 3.0102 7.8458
angles (deg): 90.00 90.00 90.00
Space group P4/mmm (No. 123)
Asymmetric unit:
Mg (0.0000, 0.0000, 0.0000) x1
Ta (0.0000, 0.0000, 0.5000) x1
Au (0.5000, 0.5000, 0.2491) x2

- ΔE_f: -0.27 eV/atom
- Theoretical density: 14.00 g/cm³
- E: -5.271 eV per atom



8.
Entry from Alexandria: a geometry-optimized MgTaAu2 structure (PBE).

a b c (Å): 2.8973 4.9488 10.2647
angles (deg): 90.00 90.00 90.00
Space group Imm2 (No. 44)
Asymmetric unit:
Mg (0.0000, 0.0000, 0.0000) x2
Ta (0.0000, 0.5000, 0.7706) x2
Au (0.0000, 0.0000, 0.5065) x2
Au (0.0000, 0.5000, 0.2544) x2

- ΔE_f: -0.06 eV/atom
- Theoretical density: 13.52 g/cm³
- E: -5.064 eV per atom